No. 1
DFT (PBE) results for a relaxed YSc2Cl crystal.

Properties
VASP energy ... -5.717 eV/atom
Uncorrected formation energy ... -0.4735 eV/atom

Cell and atoms, written as CIF:
```
data_YSc2Cl
_chemical_formula_sum 'Y1 Sc2 Cl1'
_space_group_name_H-M_alt 'P 4 m m'
_space_group_IT_number 99
_space_group_name_Hall 'P 4 -2'
_cell_length_a 3.306
_cell_length_b 3.306
_cell_length_c 8.939
_cell_angle_alpha 90.00
_cell_angle_beta 90.00
_cell_angle_gamma 90.00
loop_
_atom_site_label
_atom_site_fract_x
_atom_site_fract_y
_atom_site_fract_z
_atom_site_occupancy
Y1 0.000 0.000 0.000 1
Sc1 0.000 0.000 0.476 1
Sc2 0.500 0.500 0.720 1
Cl1 0.500 0.500 0.233 1
```

---

No. 2
DFT (PBE) results for a relaxed YSc2Cl crystal.

Properties
VASP energy ... -5.745 eV/atom
Uncorrected formation energy ... -0.5020 eV/atom

Cell and atoms, written as CIF:
```
data_YSc2Cl
_chemical_formula_sum 'Y2 Sc4 Cl2'
_space_group_name_H-M_alt 'C m m 2'
_space_group_IT_number 35
_space_group_name_Hall 'C 2 -2'
_cell_length_a 3.718
_cell_length_b 5.589
_cell_length_c 9.440
_cell_angle_alpha 90.00
_cell_angle_beta 90.00
_cell_angle_gamma 90.00
loop_
_atom_site_label
_atom_site_fract_x
_atom_site_fract_y
_atom_site_fract_z
_atom_site_occupancy
Y1 0.000 0.000 0.000 1
Sc1 0.000 0.000 0.534 1
Sc2 0.000 0.500 0.279 1
Cl1 0.000 0.500 0.754 1
```